# KNa2MnRh

An optimized crystal structure of KNa2MnRh (PBE-GGA, Alexandria).

Computed properties:
Crystal system ... tetragonal
V ... 29.7 Å³ per atom
Magnetic moment ... 3.7 μB per formula unit
Formation energy from the elements ... 0.56 eV per atom

a b c (Å): 5.7067 4.5661 5.7067
angles (deg): 90.00 90.00 90.00
Closest atoms and distances in Å follow each position.
Fractional positions:
Na 0.0000 0.0000 0.5000  2 Mn 2.85
Na 0.5000 0.0000 0.0000  2 Mn 2.85
K 0.5000 0.5000 0.5000  8 Na 3.65, 4 Rh 4.04
Mn 0.0000 0.0000 0.0000  2 Rh 2.28
Rh 0.0000 0.5000 0.0000  2 Mn 2.28

=====

# KNa2MnRu

An optimized crystal structure of KNa2MnRu (PBE-GGA, Alexandria).

Computed properties:
Crystal system ... tetragonal
V ... 36.4 Å³ per atom
Magnetic moment ... 6.1 μB per formula unit
Formation energy from the elements ... 1.40 eV per atom

a b c (Å): 5.5582 5.8893 5.5582
angles (deg): 90.00 90.00 90.00
Closest atoms and distances in Å follow each position.
Fractional positions:
Ru 0.0000 0.0000 0.0000  4 Na 2.78, 2 K 2.94
K 0.0000 0.5000 0.0000  2 Ru 2.94
Mn 0.5000 0.5000 0.5000  4 K 3.93, 8 Na 4.05
Na 0.0000 0.0000 0.5000  2 Ru 2.78
Na 0.5000 0.0000 0.0000  2 Ru 2.78

=====

# KNa2MnS4

An optimized crystal structure of KNa2MnS4 (PBE-GGA, Alexandria).

Computed properties:
Crystal system ... tetragonal
Formation energy from raw total energies ... -0.83 eV/atom
V ... 26.1 Å³ per atom
Magnetic moment ... 2.0 μB per formula unit

a b c (Å): 6.5036 6.5036 6.5036
angles (deg): 101.42 113.64 113.64
Closest atoms and distances in Å follow each position.
Fractional positions:
K 0.0000 0.0000 0.0000  8 S 3.41-3.49
Na 0.5000 0.7500 0.2500  4 S 2.77
Na 0.5000 0.2500 0.7500  4 S 2.77
Mn 0.0000 0.5000 0.5000  4 S 2.12
S 0.0000 0.1812 0.5293  1 Mn 2.12
S 0.6519 0.4707 0.4707  1 Mn 2.12
S 0.3481 0.8188 0.8188  1 Mn 2.12
S 0.0000 0.5293 0.1812  1 Mn 2.12

=====

# KNaMnSe3

An optimized crystal structure of KNaMnSe3 (PBE-GGA, Alexandria).

Computed properties:
Crystal system ... orthorhombic
Formation energy from raw total energies ... -0.75 eV/atom
V ... 29.4 Å³ per atom
Magnetic moment ... 3.0 μB per formula unit

a b c (Å): 6.7955 7.3234 7.9825
angles (deg): 117.30 90.00 90.00
Closest atoms and distances in Å follow each position.
Fractional positions:
K 0.7500 0.2148 0.4296  4 Se 3.40-3.79, 1 Mn 3.77
K 0.2500 0.7852 0.5704  4 Se 3.40-3.79, 1 Mn 3.77
Na 0.2500 0.4125 0.8249  5 Se 2.79-2.94
Na 0.7500 0.5875 0.1751  5 Se 2.79-2.94
Mn 0.2500 0.0510 0.1020  5 Se 2.33-2.45
Mn 0.7500 0.9490 0.8980  5 Se 2.33-2.45
Se 0.2500 0.2155 0.4310  1 Mn 2.33
Se 0.0000 0.2194 0.0000  2 Mn 2.45
Se 0.5000 0.7806 0.0000  2 Mn 2.45
Se 0.5000 0.2194 0.0000  2 Mn 2.45
Se 0.0000 0.7806 0.0000  2 Mn 2.45
Se 0.7500 0.7845 0.5690  1 Mn 2.33

=====

# KMnNb3

An optimized crystal structure of KMnNb3 (PBE-GGA, Alexandria).

Computed properties:
Crystal system ... cubic
V ... 22.0 Å³ per atom
Magnetic moment ... 0.0 μB per formula unit
Formation energy from the elements ... 1.12 eV per atom
Polymorph energy (0 for the lowest one) ... 0.000 eV/atom

a b c (Å): 4.7896 4.7896 4.7896
angles (deg): 90.00 90.00 90.00
Closest atoms and distances in Å follow each position.
Fractional positions:
Nb 0.0000 0.5000 0.0000  2 Mn 2.39
Nb 0.0000 0.0000 0.5000  2 Mn 2.39
Nb 0.5000 0.0000 0.0000  2 Mn 2.39
Mn 0.0000 0.0000 0.0000  6 Nb 2.39
K 0.5000 0.5000 0.5000  12 Nb 3.39

=====

# KMnNb3

An optimized crystal structure of KMnNb3 (PBE-GGA, Alexandria).

Computed properties:
Crystal system ... cubic
V ... 18.9 Å³ per atom
Magnetic moment ... 0.0 μB per formula unit
Formation energy from the elements ... 2.98 eV per atom
Polymorph energy (0 for the lowest one) ... 1.857 eV/atom

a b c (Å): 4.5580 4.5580 4.5580
angles (deg): 90.00 90.00 90.00
Closest atoms and distances in Å follow each position.
Fractional positions:
Nb 0.0000 0.5000 0.0000  2 K 2.28
Nb 0.0000 0.0000 0.5000  2 K 2.28
Nb 0.5000 0.0000 0.0000  2 K 2.28
Mn 0.5000 0.5000 0.5000  12 Nb 3.22
K 0.0000 0.0000 0.0000  6 Nb 2.28